Entry 1:
Sm2Sc3Tl2 after structural relaxation, computed with PBE-GGA.

Summary:
formation energy from the elements: -0.18 eV/atom
theoretical density: 7.54 Mg/m³

Cell: 11.933 3.801 8.264 Å, 90.00 96.89 90.00°
Space group C2/m (No. 12)
Symmetry-distinct sites (fractional):
Sm: 0.132 0.000 0.428
Sc: 0.000 0.000 0.000
Sc: 0.230 0.500 0.142
Tl: 0.078 0.500 0.749



Entry 2:
SmSc3Tl after structural relaxation, computed with PBE-GGA.

Summary:
formation energy from the elements: -0.07 eV/atom
relative energy among the computed polymorphs: 0.0 meV per atom
theoretical density: 6.13 Mg/m³

Cell: 5.150 6.918 7.447 Å, 90.00 90.00 90.00°
Space group Pmmn (No. 59, origin choice 2)
Symmetry-distinct sites (fractional):
Sm: 0.250 0.250 0.189
Sc: 0.250 0.034 0.724
Sc: 0.250 0.750 0.060
Tl: 0.250 0.750 0.435



Entry 3:
SmScTl3 after structural relaxation, computed with PBE-GGA.

Summary:
formation energy from the elements: -0.13 eV/atom
theoretical density: 9.50 Mg/m³

Cell: 7.2199 7.2199 6.2606 Å, 90.00 90.00 120.00°
Space group P6_3/mmc (No. 194)
Symmetry-distinct sites (fractional):
Sm: 0.3333 0.6667 0.2500
Sc: 0.0000 0.0000 0.0000
Tl: 0.1948 0.3896 0.7500



Entry 4:
Sm3Sc4Tl4 after structural relaxation, computed with PBE-GGA.

Summary:
formation energy from the elements: -0.23 eV/atom
theoretical density: 7.95 Mg/m³

Cell: 4.822 7.780 16.121 Å, 90.00 90.00 90.00°
Space group Immm (No. 71)
Symmetry-distinct sites (fractional):
Sm: 0.000 0.000 0.000
Sm: 0.000 0.500 0.117
Sc: 0.000 0.297 0.326
Tl: 0.000 0.000 0.211
Tl: 0.000 0.200 0.500



Entry 5:
Sm4ScTl after structural relaxation, computed with PBE-GGA.

Summary:
formation energy from the elements: 0.02 eV/atom
relative energy among the computed polymorphs: 0.0 meV per atom
theoretical density: 7.47 Mg/m³

Cell: 8.797 14.128 6.455 Å, 90.00 109.49 90.00°
Space group C2/c (No. 15)
Symmetry-distinct sites (fractional):
Sm: 0.097 0.192 0.046
Sm: 0.207 0.387 0.379
Sc: 0.000 0.405 0.750
Tl: 0.000 0.001 0.750



Entry 6:
Sm5ScTl3 after structural relaxation, computed with PBE-GGA.

Summary:
formation energy from the elements: -0.25 eV/atom
theoretical density: 8.91 Mg/m³

Cell: 9.4883 9.4883 6.7416 Å, 90.00 90.00 120.00°
Space group P6_3/mcm (No. 193)
Symmetry-distinct sites (fractional):
Sm: 0.0000 0.3256 0.2500
Sm: 0.3333 0.6667 0.0000
Sc: 0.0000 0.0000 0.0000
Tl: 0.0000 0.3350 0.7500



Entry 7:
Sm4ScTl3 after structural relaxation, computed with PBE-GGA.

Summary:
formation energy from the elements: -0.23 eV/atom
theoretical density: 9.02 Mg/m³

Cell: 5.589 5.589 14.842 Å, 90.00 90.00 90.00°
Space group I4/mmm (No. 139)
Symmetry-distinct sites (fractional):
Sm: 0.000 0.500 0.124
Sc: 0.000 0.000 0.000
Tl: 0.000 0.000 0.243
Tl: 0.000 0.000 0.500



Entry 8:
Sm6ScTl2 after structural relaxation, computed with PBE-GGA.

Summary:
formation energy from the elements: -0.09 eV/atom
relative energy among the computed polymorphs: 50.6 meV per atom
theoretical density: 8.34 Mg/m³

Cell: 15.932 11.606 5.906 Å, 90.00 98.76 90.00°
Space group C2/c (No. 15)
Symmetry-distinct sites (fractional):
Sm: 0.058 0.118 0.029
Sm: 0.111 0.388 0.303
Sm: 0.234 0.375 0.836
Sc: 0.000 0.362 0.750
Tl: 0.157 0.134 0.593



Entry 9:
SmSc6Tl3 after structural relaxation, computed with PBE-GGA.

Summary:
formation energy from the elements: -0.11 eV/atom
theoretical density: 6.52 Mg/m³

Cell: 10.749 12.061 8.116 Å, 90.00 90.00 90.00°
Space group Cmc2_1 (No. 36)
Symmetry-distinct sites (fractional):
Sm: 0.000 0.194 0.000
Sc: 0.000 0.269 0.416
Sc: 0.000 0.476 0.799
Sc: 0.167 0.068 0.337
Sc: 0.242 0.321 0.193
Tl: 0.000 0.078 0.641
Tl: 0.192 0.413 0.540



Entry 10:
Sm15Sc4Tl after structural relaxation, computed with PBE-GGA.

Summary:
formation energy from the elements: -0.01 eV/atom
theoretical density: 7.06 Mg/m³

Cell: 4.979 4.979 25.057 Å, 90.00 90.00 90.00°
Space group P4/mmm (No. 123)
Symmetry-distinct sites (fractional):
Sm: 0.000 0.000 0.000
Sm: 0.000 0.000 0.200
Sm: 0.000 0.000 0.400
Sm: 0.000 0.500 0.100
Sm: 0.000 0.500 0.300
Sm: 0.000 0.500 0.500
Sc: 0.500 0.500 0.200
Sc: 0.500 0.500 0.400
Tl: 0.500 0.500 0.000



Entry 11:
Sm3Sc2Tl4 after structural relaxation, computed with PBE-GGA.

Summary:
formation energy from the elements: -0.21 eV/atom
theoretical density: 8.86 Mg/m³

Cell: 15.056 11.197 6.049 Å, 90.00 92.35 90.00°
Space group C2/c (No. 15)
Symmetry-distinct sites (fractional):
Sm: 0.000 0.098 0.250
Sm: 0.120 0.391 0.417
Sc: 0.223 0.124 0.130
Tl: 0.079 0.312 0.932
Tl: 0.162 0.127 0.629



Entry 12:
Sm2ScTl2 after structural relaxation, computed with PBE-GGA.

Summary:
formation energy from the elements: -0.30 eV/atom
relative energy among the computed polymorphs: 0.0 meV per atom
theoretical density: 8.65 Mg/m³

Cell: 7.966 7.966 4.564 Å, 90.00 90.00 90.00°
Space group P4/mbm (No. 127)
Symmetry-distinct sites (fractional):
Sm: 0.171 0.329 0.000
Sc: 0.000 0.000 0.500
Tl: 0.135 0.635 0.500



Question: What is the formula in the fifth record?
Answer: Sm4ScTl



Question: Look up the formation energy from the elements of the sixth one.
Answer: -0.25 eV/atom



Question: The highest formation energy from the elements belongs to which entry?
Answer: Sm4ScTl



Question: What is the theoretical density in the twelfth record?
Answer: 8.65 Mg/m³